TbNbAsO: optimized geometry, PBE.

Summary:
calculated total energy = -7.4379 eV per atom
SG = Pmc2_1 (26)
energy above the most stable polymorph in this dataset = 2.21 eV/f.u.

Lattice parameters (Å, degrees): 4.1073 6.8485 5.9445 90.00 90.00 90.00
Closest atoms and distances in Å follow each position.
Sites, in units of the cell vectors:
O: 0.5000 0.1741 0.8660  2 Nb 2.06-2.08, 2 Tb 2.24
O: 0.5000 0.8259 0.3660  2 Nb 2.06-2.08, 2 Tb 2.24
Tb: 0.0000 0.2921 0.9342  2 O 2.24
Tb: 0.0000 0.7079 0.4342  2 O 2.24
Nb: 0.5000 0.9063 0.0323  2 O 2.06-2.08
Nb: 0.5000 0.0937 0.5323  2 O 2.06-2.08
As: 0.0000 0.2935 0.4215  2 Nb 2.55, 1 Tb 2.84
As: 0.0000 0.7065 0.9215  2 Nb 2.55, 1 Tb 2.84

TbNbAsO: optimized geometry, PBE.

Summary:
calculated total energy = -7.9910 eV per atom
SG = P4/nmm (129)
energy above the most stable polymorph in this dataset = 0.00 eV/f.u.

Lattice parameters (Å, degrees): 3.9743 3.9743 9.0337 90.00 90.00 90.00
Closest atoms and distances in Å follow each position.
Sites, in units of the cell vectors:
As: 0.7500 0.7500 0.3012  4 Nb 2.68
As: 0.2500 0.2500 0.6988  4 Nb 2.68
O: 0.2500 0.7500 0.0000  4 Tb 2.27
O: 0.7500 0.2500 0.0000  4 Tb 2.27
Nb: 0.2500 0.7500 0.5000  4 As 2.68, 4 Nb 2.81
Nb: 0.7500 0.2500 0.5000  4 As 2.68, 4 Nb 2.81
Tb: 0.7500 0.7500 0.8780  4 O 2.27
Tb: 0.2500 0.2500 0.1220  4 O 2.27

TbNbAsO: optimized geometry, PBE.

Summary:
calculated total energy = -6.8540 eV per atom
SG = P4/nmm (129)
energy above the most stable polymorph in this dataset = 4.55 eV/f.u.

Lattice parameters (Å, degrees): 4.1404 4.1404 7.9427 90.00 90.00 90.00
Closest atoms and distances in Å follow each position.
Sites, in units of the cell vectors:
Tb: 0.0000 0.0000 0.5000  4 As 2.89, 4 Tb 2.93
Tb: 0.5000 0.5000 0.5000  4 As 2.89, 4 Tb 2.93
As: 0.0000 0.5000 0.2454  1 Nb 2.78, 4 O 2.84, 4 Tb 2.89
As: 0.5000 0.0000 0.7546  1 Nb 2.78, 4 O 2.84, 4 Tb 2.89
Nb: 0.5000 0.0000 0.1049  4 O 2.23
Nb: 0.0000 0.5000 0.8951  4 O 2.23
O: 0.5000 0.5000 0.0000  4 Nb 2.23
O: 0.0000 0.0000 0.0000  4 Nb 2.23

TbNbAsO: optimized geometry, PBE.

Summary:
calculated total energy = -7.9908 eV per atom
SG = P4/nmm (129)
energy above the most stable polymorph in this dataset = 0.00 eV/f.u.

Lattice parameters (Å, degrees): 3.9678 3.9678 9.0511 90.00 90.00 90.00
Closest atoms and distances in Å follow each position.
Sites, in units of the cell vectors:
O: 0.5000 0.5000 0.0000  4 Tb 2.27
O: 0.0000 0.0000 0.0000  4 Tb 2.27
Tb: 0.0000 0.5000 0.8782  4 O 2.27
Tb: 0.5000 0.0000 0.1218  4 O 2.27
As: 0.5000 0.0000 0.6985  4 Nb 2.68
As: 0.0000 0.5000 0.3015  4 Nb 2.68
Nb: 0.5000 0.5000 0.5000  4 As 2.68, 4 Nb 2.81
Nb: 0.0000 0.0000 0.5000  4 As 2.68, 4 Nb 2.81

TbNbAsO: optimized geometry, PBE.

Summary:
calculated total energy = -7.7322 eV per atom
SG = Pmc2_1 (26)
energy above the most stable polymorph in this dataset = 1.04 eV/f.u.

Lattice parameters (Å, degrees): 4.1806 4.9474 6.7382 90.00 90.00 90.00
Closest atoms and distances in Å follow each position.
Sites, in units of the cell vectors:
Nb: 0.0000 0.6337 0.9382  2 O 2.09
Nb: 0.0000 0.3663 0.4382  2 O 2.09
Tb: 0.5000 0.1841 0.0946  2 O 2.45
Tb: 0.5000 0.8159 0.5946  2 O 2.45
O: 0.5000 0.3730 0.4314  2 Nb 2.09
O: 0.5000 0.6270 0.9314  2 Nb 2.09
As: 0.0000 0.8605 0.2898  3 Nb 2.62-2.69
As: 0.0000 0.1395 0.7898  3 Nb 2.62-2.69

NbTcAsO: optimized geometry, PBE.

Summary:
calculated total energy = -8.2648 eV per atom
SG = Pmc2_1 (26)
energy above the most stable polymorph in this dataset = 0.34 eV/f.u.

Lattice parameters (Å, degrees): 4.0690 5.4686 5.3209 90.00 90.00 90.00
Closest atoms and distances in Å follow each position.
Sites, in units of the cell vectors:
As: 0.0000 0.7634 0.8738  3 Tc 2.50-2.69, 4 Nb 2.75-2.76
As: 0.0000 0.2366 0.3738  3 Tc 2.50-2.69, 4 Nb 2.75-2.76
Nb: 0.5000 0.0029 0.6253  2 O 2.17-2.18
Nb: 0.5000 0.9971 0.1253  2 O 2.17-2.18
Tc: 0.0000 0.3063 0.8739  2 O 2.04
Tc: 0.0000 0.6937 0.3739  2 O 2.04
O: 0.5000 0.3146 0.8810  2 Tc 2.04, 2 Nb 2.17-2.18
O: 0.5000 0.6854 0.3810  2 Tc 2.04, 2 Nb 2.17-2.18

NbTcAsO: optimized geometry, PBE.

Summary:
calculated total energy = -8.1859 eV per atom
SG = P4/nmm (129)
energy above the most stable polymorph in this dataset = 0.66 eV/f.u.

Lattice parameters (Å, degrees): 3.7187 3.7187 8.0371 90.00 90.00 90.00
Closest atoms and distances in Å follow each position.
Sites, in units of the cell vectors:
Tc: 0.2500 0.7500 0.5000  4 As 2.53, 4 Tc 2.63
Tc: 0.7500 0.2500 0.5000  4 As 2.53, 4 Tc 2.63
As: 0.2500 0.2500 0.7132  4 Tc 2.53, 4 Nb 2.82
As: 0.7500 0.7500 0.2868  4 Tc 2.53, 4 Nb 2.82
O: 0.2500 0.7500 0.0000  4 Nb 2.25
O: 0.7500 0.2500 0.0000  4 Nb 2.25
Nb: 0.7500 0.7500 0.8414  4 O 2.25
Nb: 0.2500 0.2500 0.1586  4 O 2.25

NbTcAsO: optimized geometry, PBE.

Summary:
calculated total energy = -7.6597 eV per atom
SG = P4/nmm (129)
energy above the most stable polymorph in this dataset = 2.76 eV/f.u.

Lattice parameters (Å, degrees): 3.8486 3.8486 7.3981 90.00 90.00 90.00
Closest atoms and distances in Å follow each position.
Sites, in units of the cell vectors:
O: 0.0000 0.0000 0.0000  4 Tc 2.28
O: 0.5000 0.5000 0.0000  4 Tc 2.28
As: 0.0000 0.5000 0.2392  4 O 2.61, 4 Nb 2.72, 4 Tc 2.78
As: 0.5000 0.0000 0.7608  4 O 2.61, 4 Nb 2.72, 4 Tc 2.78
Tc: 0.0000 0.5000 0.8356  4 O 2.28
Tc: 0.5000 0.0000 0.1644  4 O 2.28
Nb: 0.5000 0.5000 0.5000  4 Nb 2.72, 4 As 2.72
Nb: 0.0000 0.0000 0.5000  4 Nb 2.72, 4 As 2.72

- The lowest calculated total energy belongs to which entry?
  number 6

- Among the records above, which one has the highest energy above the most stable polymorph in this dataset?
  number 3

- calculated total energy of number 6 (NbTcAsO)?
  -8.2648 eV per atom

What did the third record say?
TbNbAsO: optimized geometry, PBE.

Summary:
calculated total energy = -6.8540 eV per atom
SG = P4/nmm (129)
energy above the most stable polymorph in this dataset = 4.55 eV/f.u.

Lattice parameters (Å, degrees): 4.1404 4.1404 7.9427 90.00 90.00 90.00
Closest atoms and distances in Å follow each position.
Sites, in units of the cell vectors:
Tb: 0.0000 0.0000 0.5000  4 As 2.89, 4 Tb 2.93
Tb: 0.5000 0.5000 0.5000  4 As 2.89, 4 Tb 2.93
As: 0.0000 0.5000 0.2454  1 Nb 2.78, 4 O 2.84, 4 Tb 2.89
As: 0.5000 0.0000 0.7546  1 Nb 2.78, 4 O 2.84, 4 Tb 2.89
Nb: 0.5000 0.0000 0.1049  4 O 2.23
Nb: 0.0000 0.5000 0.8951  4 O 2.23
O: 0.5000 0.5000 0.0000  4 Nb 2.23
O: 0.0000 0.0000 0.0000  4 Nb 2.23